LiY3O4: optimized geometry, GGA-PBE.

a b c (Å): 4.731 4.731 4.731
angles (deg): 90.00 90.00 90.00
Fractional positions:
Y 0.000 0.500 0.500
Y 0.500 0.000 0.500
Y 0.500 0.500 0.000
O 0.500 0.000 0.000
O 0.000 0.500 0.000
O 0.000 0.000 0.500
O 0.500 0.500 0.500
Li 0.000 0.000 0.000

Properties
Formation energy from raw total energies = -2.831 eV/atom


Gd2ZnHg: optimized geometry, GGA-PBE.

a b c (Å): 5.222 5.222 5.222
angles (deg): 60.00 60.00 60.00
Fractional positions:
Zn 0.500 0.500 0.500
Gd 0.750 0.750 0.750
Gd 0.250 0.250 0.250
Hg 0.000 0.000 0.000

Properties
Electronic total energy = -7.849 eV per atom


TiSn2Os: optimized geometry, GGA-PBE.

a b c (Å): 4.692 4.692 4.692
angles (deg): 60.00 60.00 60.00
Fractional positions:
Os 0.500 0.500 0.500
Sn 0.250 0.250 0.250
Sn 0.750 0.750 0.750
Ti 0.000 0.000 0.000

Properties
Electronic total energy = -6.640 eV per atom


Number 1: size of the total moment 0.0 μB per cell. Number 2: size of the total moment 14.8 μB per cell. Number 3: size of the total moment 1.7 μB per cell.